1.
Density functional theory data (PBE-GGA) for an optimized crystal structure of PtAu2Br.

The space group is C2/m (No. 12) and the conventional cell measures 12.944, 2.971 and 4.483 Å, with angles of 90.00, 110.19 and 90.00 degrees. The distinct sites, in fractional coordinates, are Pt at (0.000, 0.000, 0.000), Au at (0.207, 0.500, 0.207) and Br at (0.000, 0.500, 0.500).

The volume is 20.2 Å³ per atom. The calculation puts the formation energy without anion corrections at 345 meV per atom. The calculation puts the energy above the most stable polymorph in this dataset at 0.1225 eV per atom.

---

2.
Density functional theory data (PBE-GGA) for an optimized crystal structure of PtAuBr.

The space group is Fmm2 (No. 42) and the conventional cell measures 3.544, 5.821 and 12.305 Å, with angles of 90.00, 90.00 and 90.00 degrees. The distinct sites, in fractional coordinates, are Pt at (0.000, 0.000, 0.000), Au at (0.000, 0.000, 0.343) and Br at (0.000, 0.000, 0.647).

The volume is 21.2 Å³ per atom. The calculation puts the formation energy without anion corrections at 423 meV per atom. The calculation puts the energy above the most stable polymorph in this dataset at 0.0700 eV per atom.

---

3.
Density functional theory data (PBE-GGA) for an optimized crystal structure of PtAu2Br.

The space group is Cmm2 (No. 35) and the conventional cell measures 2.991, 5.419 and 9.546 Å, with angles of 90.00, 90.00 and 90.00 degrees. The distinct sites, in fractional coordinates, are Pt at (0.000, 0.000, 0.000), Au at (0.000, 0.000, 0.513), Au at (0.000, 0.500, 0.762) and Br at (0.000, 0.500, 0.229).

The volume is 19.3 Å³ per atom. The calculation puts the formation energy without anion corrections at 355 meV per atom. The calculation puts the energy above the most stable polymorph in this dataset at 0.1320 eV per atom.

---

4.
Density functional theory data (PBE-GGA) for an optimized crystal structure of RbPtAuBr6.

The space group is P312 (No. 149) and the conventional cell measures 7.1975, 7.1975 and 7.3901 Å, with angles of 90.00, 90.00 and 120.00 degrees. The distinct sites, in fractional coordinates, are Rb at (0.0000, 0.0000, 0.0000), Pt at (0.6667, 0.3333, 0.5000), Au at (0.3333, 0.6667, 0.5000) and Br at (0.3911, 0.0373, 0.6947).

The volume is 36.8 Å³ per atom. The calculation puts the formation energy without anion corrections at -492 meV per atom.

---

5.
Density functional theory data (PBE-GGA) for an optimized crystal structure of Rb2PtAuBr6.

The space group is I4/mmm (No. 139) and the conventional cell measures 7.502, 7.502 and 11.254 Å, with angles of 90.00, 90.00 and 90.00 degrees. The distinct sites, in fractional coordinates, are Rb at (0.000, 0.500, 0.250), Pt at (0.000, 0.000, 0.000), Au at (0.000, 0.000, 0.500), Br at (0.000, 0.000, 0.224) and Br at (0.247, 0.247, 0.000).

The volume is 31.7 Å³ per atom. The calculation puts the formation energy without anion corrections at -816 meV per atom. The calculation puts the energy above the most stable polymorph in this dataset at 0.0000 eV per atom.

---

6.
Density functional theory data (PBE-GGA) for an optimized crystal structure of Rb2PtAuBr6.

The space group is R-3m (No. 166, hexagonal axes) and the conventional cell measures 7.5053, 7.5053 and 39.8240 Å, with angles of 90.00, 90.00 and 120.00 degrees. The distinct sites, in fractional coordinates, are Rb at (0.0000, 0.0000, 0.1182), Rb at (0.0000, 0.0000, 0.3008), Pt at (0.0000, 0.0000, 0.0000), Pt at (0.0000, 0.0000, 0.5000), Au at (0.0000, 0.0000, 0.4129), Br at (0.0083, 0.5042, 0.1292) and Br at (0.0092, 0.5046, 0.7053).

The volume is 32.4 Å³ per atom. The calculation puts the formation energy without anion corrections at -776 meV per atom. The calculation puts the energy above the most stable polymorph in this dataset at 0.0400 eV per atom.

---

7.
Density functional theory data (PBE-GGA) for an optimized crystal structure of PtAu2SBr.

The space group is P4/mmm (No. 123) and the conventional cell measures 5.047, 5.047 and 4.820 Å, with angles of 90.00, 90.00 and 90.00 degrees. The distinct sites, in fractional coordinates, are Pt at (0.000, 0.000, 0.000), Au at (0.000, 0.500, 0.500), S at (0.500, 0.500, 0.000) and Br at (0.000, 0.000, 0.500).

The volume is 24.6 Å³ per atom. The calculation puts the formation energy without anion corrections at 1260 meV per atom.

---

8.
Density functional theory data (PBE-GGA) for an optimized crystal structure of PtAuSe2Br.

The space group is P4/mmm (No. 123) and the conventional cell measures 4.966, 4.966 and 5.149 Å, with angles of 90.00, 90.00 and 90.00 degrees. The distinct sites, in fractional coordinates, are Pt at (0.000, 0.000, 0.000), Au at (0.500, 0.500, 0.500), Se at (0.000, 0.500, 0.000) and Br at (0.000, 0.000, 0.500).

The volume is 25.4 Å³ per atom. The calculation puts the formation energy without anion corrections at 578 meV per atom. The calculation puts the energy above the most stable polymorph in this dataset at 0.0000 eV per atom.

---

9.
Density functional theory data (PBE-GGA) for an optimized crystal structure of Pt2AuSeBr.

The space group is P4/mmm (No. 123) and the conventional cell measures 4.675, 4.675 and 5.507 Å, with angles of 90.00, 90.00 and 90.00 degrees. The distinct sites, in fractional coordinates, are Pt at (0.000, 0.500, 0.000), Au at (0.000, 0.000, 0.500), Se at (0.500, 0.500, 0.000) and Br at (0.500, 0.500, 0.500).

The volume is 24.1 Å³ per atom. The calculation puts the formation energy without anion corrections at 775 meV per atom.

---

10.
Density functional theory data (PBE-GGA) for an optimized crystal structure of Sr6Pt2AuBr3.

The space group is C2/m (No. 12) and the conventional cell measures 7.622, 13.204 and 8.348 Å, with angles of 90.00, 107.73 and 90.00 degrees. The distinct sites, in fractional coordinates, are Sr at (0.224, 0.000, 0.213), Sr at (0.244, 0.327, 0.213), Pt at (0.000, 0.167, 0.000), Au at (0.000, 0.500, 0.000), Br at (0.000, 0.000, 0.500) and Br at (0.000, 0.334, 0.500).

The volume is 33.3 Å³ per atom. The calculation puts the formation energy without anion corrections at -1222 meV per atom.

---

11.
Density functional theory data (PBE-GGA) for an optimized crystal structure of Tl2PtAuBr6.

The space group is R-3m (No. 166, hexagonal axes) and the conventional cell measures 7.4020, 7.4020 and 39.8434 Å, with angles of 90.00, 90.00 and 120.00 degrees. The distinct sites, in fractional coordinates, are Tl at (0.0000, 0.0000, 0.1122), Tl at (0.0000, 0.0000, 0.3078), Pt at (0.0000, 0.0000, 0.0000), Pt at (0.0000, 0.0000, 0.5000), Au at (0.0000, 0.0000, 0.4143), Br at (0.0054, 0.5027, 0.1294) and Br at (0.0068, 0.5034, 0.7053).

The volume is 31.5 Å³ per atom. The calculation puts the formation energy without anion corrections at -393 meV per atom.

---

Number 1: E_tot -3.222 eV per atom, total moment 0.0 Bohr magnetons per cell. Number 2: E_tot -3.240 eV per atom, total moment 0.0 Bohr magnetons per cell. Number 3: E_tot -3.213 eV per atom, total moment 0.0 Bohr magnetons per cell. Number 4: E_tot -2.750 eV per atom, total moment 0.0 Bohr magnetons per cell. Number 5: E_tot -2.945 eV per atom, total moment 0.0 Bohr magnetons per cell. Number 6: E_tot -2.905 eV per atom, total moment 0.0 Bohr magnetons per cell. Number 7: E_tot -2.419 eV per atom, total moment 0.0 Bohr magnetons per cell. Number 8: E_tot -3.014 eV per atom, total moment 0.0 Bohr magnetons per cell. Number 9: E_tot -3.329 eV per atom, total moment 0.0 Bohr magnetons per cell. Number 10: E_tot -3.761 eV per atom, total moment 0.0 Bohr magnetons per cell. Number 11: E_tot -2.802 eV per atom, total moment 0.0 Bohr magnetons per cell.